ZnInN2O: optimized geometry, PBE.

Unit cell a=3.9371 b=3.9371 c=3.9829 alpha=90.00 beta=90.00 gamma=90.00
Closest atoms and distances in Å follow each position.
Space group P4/mmm (No. 123)
Inequivalent atoms, fractional coordinates:
Zn1 0.0000 0.0000 0.0000 x1  4 N 1.97, 2 O 1.99
In1 0.5000 0.5000 0.5000 x1  4 O 2.78, 8 N 2.80
N1 0.0000 0.5000 0.0000 x2  2 Zn 1.97
O1 0.0000 0.0000 0.5000 x1  2 Zn 1.99

Values from the calculation:
VASP energy = -4.11 eV per atom
Formation energy from raw total energies = 1.0122 eV/atom
Theoretical density = 6.031 g/cm³
DOS(E_F) = 2.979 states/eV/f.u.